This record from Alexandria describes crystalline Y2ZrTa at its relaxed geometry. The functional is PBE.

## Properties
Total magnetization = 0.000 μB per formula unit
ΔH_f (0 K) = 1.00 eV per formula unit
E above lowest polymorph = 0.35 eV/f.u.
E = -32.3 eV/cell

Unit cell a=3.2025 b=3.2025 c=10.0891 alpha=90.00 beta=90.00 gamma=90.00
Closest atoms and distances in Å follow each position.
Atoms (fractional coordinates):
Y  0.0000  0.0000  0.0000  4 Ta 3.19, 4 Y 3.20
Y  0.5000  0.5000  0.3079  4 Y 3.20, 4 Zr 3.50
Zr  0.0000  0.0000  0.5728  4 Ta 3.06, 4 Zr 3.20
Ta  0.5000  0.5000  0.7768  4 Zr 3.06, 4 Y 3.19, 4 Ta 3.20

***

This record from Alexandria describes crystalline ScNiI2N at its relaxed geometry. The functional is PBE.

## Properties
ΔE_f (raw) = 25 kJ/mol of atoms
Total magnetization = 0.301 μB per formula unit
E above lowest polymorph = 0.00 eV/f.u.
E = -22.2 eV/cell

Unit cell a=5.6340 b=5.6340 c=3.5055 alpha=90.00 beta=90.00 gamma=90.00
Closest atoms and distances in Å follow each position.
Atoms (fractional coordinates):
Sc  0.0000  0.0000  0.0000  8 I 3.32, 2 Sc 3.51
Ni  0.5000  0.5000  0.5000  2 N 1.75
I  0.0000  0.5000  0.5000  2 Ni 2.82
I  0.5000  0.0000  0.5000  2 Ni 2.82
N  0.5000  0.5000  0.0000  2 Ni 1.75

***

This record from Alexandria describes crystalline U3TiS6 at its relaxed geometry. The functional is PBE.

## Properties
ΔE_f (raw) = -130 kJ/mol of atoms
Total magnetization = 8.922 μB per formula unit
E above lowest polymorph = 0.12 eV/f.u.
E = -160.1 eV/cell

Unit cell a=3.6801 b=10.4472 c=10.3817 alpha=90.00 beta=90.00 gamma=90.00
Closest atoms and distances in Å follow each position.
Atoms (fractional coordinates):
U  0.0000  0.0610  0.0000  7 S 2.71-2.79
U  0.0000  0.9390  0.5000  7 S 2.71-2.79
U  0.5000  0.2447  0.3005  7 S 2.73-2.82
U  0.5000  0.4264  0.9672  7 S 2.69-2.81
U  0.5000  0.5736  0.4672  7 S 2.69-2.81
U  0.5000  0.7553  0.8005  7 S 2.73-2.82
Ti  0.0000  0.2777  0.6757  7 S 2.58-2.72
Ti  0.0000  0.7223  0.1757  7 S 2.58-2.72
S  0.0000  0.0545  0.2660  4 U 2.71-2.76
S  0.0000  0.3044  0.1112  5 U 2.69-2.79
S  0.0000  0.3799  0.4435  1 Ti 2.64, 4 U 2.75
S  0.0000  0.6201  0.9435  1 Ti 2.64, 4 U 2.75
S  0.0000  0.6956  0.6112  5 U 2.69-2.79
S  0.0000  0.9455  0.7660  4 U 2.71-2.76
S  0.5000  0.1334  0.5481  2 Ti 2.72, 3 U 2.79-2.82
S  0.5000  0.1941  0.8501  3 U 2.71-2.78, 2 Ti 2.72
S  0.5000  0.4481  0.7070  2 Ti 2.58, 2 U 2.71-2.81
S  0.5000  0.5519  0.2070  2 Ti 2.58, 2 U 2.71-2.81
S  0.5000  0.8059  0.3501  3 U 2.71-2.78, 2 Ti 2.72
S  0.5000  0.8666  0.0481  2 Ti 2.72, 3 U 2.79-2.82

***

This record from Alexandria describes crystalline AlAgCl2 at its relaxed geometry. The functional is PBE.

## Properties
ΔE_f (raw) = -22 kJ/mol of atoms
Total magnetization = 0.000 μB per formula unit
E above lowest polymorph = 2.09 eV/f.u.
E = -11.2 eV/cell

Unit cell a=4.9893 b=4.9893 c=4.9893 alpha=60.00 beta=60.00 gamma=60.00
Closest atoms and distances in Å follow each position.
Atoms (fractional coordinates):
Al  0.0000  0.0000  0.0000  8 Cl 3.06
Ag  0.5000  0.5000  0.5000  8 Cl 3.06
Cl  0.2500  0.2500  0.2500  4 Al 3.06, 4 Ag 3.06
Cl  0.7500  0.7500  0.7500  4 Al 3.06, 4 Ag 3.06

***

This record from Alexandria describes crystalline SiNiPt2 at its relaxed geometry. The functional is PBE.

## Properties
ΔE_f (raw) = -27 kJ/mol of atoms
Total magnetization = 0.001 μB per formula unit
E = -24.4 eV/cell

Unit cell a=4.6908 b=4.6908 c=4.6908 alpha=132.50 beta=132.50 gamma=69.43
Closest atoms and distances in Å follow each position.
Atoms (fractional coordinates):
Si  0.0000  0.0000  0.0000  8 Pt 2.67-2.70, 4 Ni 2.70
Ni  0.2500  0.7500  0.5000  8 Pt 2.67-2.70, 4 Si 2.70
Pt  0.5000  0.5000  0.0000  4 Si 2.67, 4 Pt 2.70, 4 Ni 2.70
Pt  0.7500  0.2500  0.5000  4 Ni 2.67, 4 Pt 2.70, 4 Si 2.70

***

This record from Alexandria describes crystalline CuIrPdO4 at its relaxed geometry. The functional is PBE.

## Properties
ΔE_f (raw) = -44 kJ/mol of atoms
Total magnetization = 0.000 μB per formula unit
E = -82.4 eV/cell

Unit cell a=6.1639 b=6.1639 c=6.1639 alpha=120.53 beta=118.97 gamma=90.44
Closest atoms and distances in Å follow each position.
Atoms (fractional coordinates):
Cu  0.3844  0.1344  0.2500  4 O 2.00-2.11
Cu  0.6156  0.8656  0.7500  4 O 2.00-2.11
Ir  0.0000  0.5000  0.5000  6 O 2.05-2.07
Ir  0.5000  0.5000  0.0000  6 O 2.05-2.07
Pd  0.0000  0.0000  0.5000  6 O 2.11-2.12
Pd  0.0000  0.5000  0.0000  6 O 2.11-2.12
O  0.2211  0.7362  0.4849  1 Cu 2.00, 1 Ir 2.05, 2 Pd 2.12
O  0.2423  0.2714  0.5292  2 Ir 2.07, 1 Cu 2.11, 1 Pd 2.11
O  0.2423  0.7131  0.9708  2 Ir 2.07, 1 Cu 2.11, 1 Pd 2.11
O  0.2487  0.2638  0.9849  1 Cu 2.00, 1 Ir 2.05, 2 Pd 2.12
O  0.7513  0.7362  0.0151  1 Cu 2.00, 1 Ir 2.05, 2 Pd 2.12
O  0.7577  0.2869  0.0292  2 Ir 2.07, 1 Cu 2.11, 1 Pd 2.11
O  0.7577  0.7286  0.4708  2 Ir 2.07, 1 Cu 2.11, 1 Pd 2.11
O  0.7789  0.2638  0.5151  1 Cu 2.00, 1 Ir 2.05, 2 Pd 2.12

***

This record from Alexandria describes crystalline ZrTi2In2 at its relaxed geometry. The functional is PBE.

## Properties
Total magnetization = 1.666 μB per formula unit
ΔH_f (0 K) = -0.10 eV per formula unit
E above lowest polymorph = 0.16 eV/f.u.
E = -59.8 eV/cell

Unit cell a=8.2276 b=8.2276 c=3.0395 alpha=90.00 beta=90.00 gamma=90.00
Closest atoms and distances in Å follow each position.
Atoms (fractional coordinates):
Zr  0.0000  0.0000  0.0000  2 Zr 3.04, 4 Ti 3.32, 8 In 3.37
Zr  0.5000  0.5000  0.0000  2 Zr 3.04, 4 Ti 3.32, 8 In 3.37
Ti  0.1122  0.3878  0.0000  1 Ti 2.61, 6 In 2.83-2.92
Ti  0.3878  0.8878  0.0000  1 Ti 2.61, 6 In 2.83-2.92
Ti  0.6122  0.1122  0.0000  1 Ti 2.61, 6 In 2.83-2.92
Ti  0.8878  0.6122  0.0000  1 Ti 2.61, 6 In 2.83-2.92
In  0.1828  0.6828  0.5000  6 Ti 2.83-2.92, 2 In 3.04
In  0.3172  0.1828  0.5000  6 Ti 2.83-2.92, 2 In 3.04
In  0.6828  0.8172  0.5000  6 Ti 2.83-2.92, 2 In 3.04
In  0.8172  0.3172  0.5000  6 Ti 2.83-2.92, 2 In 3.04

***

This record from Alexandria describes crystalline UBr5N2 at its relaxed geometry. The functional is PBE.

## Properties
ΔE_f (raw) = 39 kJ/mol of atoms
Total magnetization = 7.000 μB per formula unit
E = -33.1 eV/cell

Unit cell a=5.6795 b=8.7799 c=8.8206 alpha=84.46 beta=71.24 gamma=71.73
Closest atoms and distances in Å follow each position.
Atoms (fractional coordinates):
U  0.0000  0.0000  0.0000  6 Br 2.64-2.84
Br  0.1549  0.6830  0.9984  1 U 2.64
Br  0.1581  0.0002  0.6837  1 U 2.64
Br  0.5001  0.0001  0.0000  2 U 2.84
Br  0.8424  0.9998  0.3163  1 U 2.64
Br  0.8455  0.3170  0.0016  1 U 2.64
N  0.3331  0.5049  0.3348  2 Br 3.50-3.51
N  0.6706  0.4980  0.6653  2 Br 3.50-3.51